A plane-wave DFT calculation with SCAN was carried out for Li2TePb at its PBEsol-relaxed geometry.

The value obtained for the energy above the most stable polymorph in this dataset is 39.3 meV per atom. The uncorrected formation energy is -0.559 eV per atom. As for the total DFT energy (no corrections): -30.012 eV per atom.

It has space group Pmmm (No. 47), with a = 4.093 Å, b = 4.290 Å, c = 5.104 Å, α = 90.00°, β = 90.00° and γ = 90.00°. The asymmetric unit holds Li at (0.000, 0.000, 0.000), Li at (0.000, 0.500, 0.500), Te at (0.500, 0.000, 0.500) and Pb at (0.500, 0.500, 0.000).

=====

A plane-wave DFT calculation with SCAN was carried out for Be3PbBr at its PBEsol-relaxed geometry.

The uncorrected formation energy is 0.953 eV per atom. As for the total DFT energy (no corrections): -20.707 eV per atom.

It has space group Pm-3m (No. 221), with a = 4.752 Å, b = 4.752 Å, c = 4.752 Å, α = 90.00°, β = 90.00° and γ = 90.00°. The asymmetric unit holds Be at (0.000, 0.000, 0.500), Pb at (0.000, 0.000, 0.000) and Br at (0.500, 0.500, 0.500).

=====

A plane-wave DFT calculation with SCAN was carried out for TeAs3H at its PBEsol-relaxed geometry.

As for the total DFT energy (no corrections): -18.716 eV per atom.

It has space group Pm-3m (No. 221), with a = 5.306 Å, b = 5.306 Å, c = 5.306 Å, α = 90.00°, β = 90.00° and γ = 90.00°. The asymmetric unit holds Te at (0.000, 0.000, 0.000), As at (0.000, 0.000, 0.500) and H at (0.500, 0.500, 0.500).